(P)
Entry from Alexandria: a relaxed structure of Sr2Cu2Ag (GGA-PBE).

Unit cell a=5.936 b=5.936 c=5.697 alpha=58.60 beta=58.60 gamma=90.00
Atoms (fractional coordinates):
Cu: 0.653 0.653 0.694
Ag: 0.000 0.000 0.000
Cu: 0.347 0.347 0.306
Sr: 0.250 0.750 0.500
Sr: 0.750 0.250 0.500

=====

(Q)
Entry from Alexandria: a relaxed structure of Sr2Cu2Ag (GGA-PBE).

Unit cell a=7.776 b=7.776 c=4.251 alpha=90.00 beta=90.00 gamma=90.00
Atoms (fractional coordinates):
Ag: 0.500 0.500 0.000
Cu: 0.387 0.887 0.000
Cu: 0.613 0.113 0.000
Ag: 0.000 0.000 0.000
Sr: 0.182 0.682 0.500
Sr: 0.318 0.182 0.500
Cu: 0.113 0.387 0.000
Sr: 0.818 0.318 0.500
Sr: 0.682 0.818 0.500
Cu: 0.887 0.613 0.000

=====

Quick one: least stable of them? (P)

=====

(P)
Entry from Alexandria: a relaxed structure of SrCuAg (GGA-PBE).

Unit cell a=5.887 b=5.887 c=3.642 alpha=71.98 beta=71.99 gamma=36.04
Atoms (fractional coordinates):
Sr: 0.331 0.331 0.669
Ag: 0.036 0.036 0.964
Cu: 0.633 0.633 0.367

=====

(Q)
Entry from Alexandria: a relaxed structure of SrCuAg (GGA-PBE).

Unit cell a=6.132 b=6.116 c=8.343 alpha=69.80 beta=90.00 gamma=90.00
Atoms (fractional coordinates):
Sr: 0.363 0.835 0.375
Ag: 0.372 0.814 0.968
Ag: 0.872 0.686 0.532
Cu: 0.895 0.101 0.290
Cu: 0.605 0.601 0.790
Sr: 0.637 0.165 0.625
Sr: 0.137 0.335 0.875
Cu: 0.105 0.899 0.710
Ag: 0.128 0.314 0.468
Ag: 0.628 0.186 0.032
Cu: 0.395 0.399 0.210
Sr: 0.863 0.665 0.125

=====

(R)
Entry from Alexandria: a relaxed structure of SrCuAg (GGA-PBE).

Unit cell a=4.837 b=4.837 c=4.837 alpha=60.00 beta=60.00 gamma=60.00
Atoms (fractional coordinates):
Ag: 0.500 0.500 0.500
Cu: 0.750 0.750 0.750
Sr: 0.000 0.000 0.000

=====

(S)
Entry from Alexandria: a relaxed structure of SrCuAg (GGA-PBE).

Unit cell a=5.119 b=5.119 c=5.119 alpha=60.00 beta=60.00 gamma=60.00
Atoms (fractional coordinates):
Ag: 0.000 0.000 0.000
Sr: 0.750 0.750 0.750
Cu: 0.500 0.500 0.500

=====

Quick one: least stable of them? (S)

=====

(P)
Entry from Alexandria: a relaxed structure of SrCuAg3 (GGA-PBE).

Unit cell a=5.799 b=5.799 c=5.799 alpha=90.00 beta=90.00 gamma=90.00
Atoms (fractional coordinates):
Cu: 0.500 0.500 0.500
Ag: 0.000 0.500 0.000
Ag: 0.000 0.000 0.500
Ag: 0.500 0.000 0.000
Sr: 0.000 0.000 0.000

=====

(Q)
Entry from Alexandria: a relaxed structure of SrCuAg3 (GGA-PBE).

Unit cell a=4.963 b=4.963 c=4.963 alpha=90.00 beta=90.00 gamma=90.00
Atoms (fractional coordinates):
Ag: 0.500 0.000 0.000
Ag: 0.000 0.500 0.000
Sr: 0.500 0.500 0.500
Ag: 0.000 0.000 0.500
Cu: 0.000 0.000 0.000

=====

Quick one: least stable of them? (P)

=====

(P)
Entry from Alexandria: a relaxed structure of SrCu4Ag (GGA-PBE).

Unit cell a=5.208 b=5.208 c=5.208 alpha=60.00 beta=60.00 gamma=60.00
Atoms (fractional coordinates):
Cu: 0.626 0.626 0.626
Cu: 0.626 0.121 0.626
Sr: 0.250 0.250 0.250
Cu: 0.626 0.626 0.121
Ag: 0.000 0.000 0.000
Cu: 0.121 0.626 0.626

=====

(Q)
Entry from Alexandria: a relaxed structure of SrCu4Ag (GGA-PBE).

Unit cell a=4.134 b=5.124 c=5.559 alpha=117.45 beta=90.00 gamma=90.00
Atoms (fractional coordinates):
Sr: 0.000 0.000 0.000
Ag: 0.500 0.500 0.000
Cu: 0.000 0.311 0.622
Cu: 0.500 0.000 0.500
Cu: 0.000 0.689 0.378
Cu: 0.500 0.500 0.500

=====

Quick one: least stable of them? (P)

=====

(P)
Entry from Alexandria: a relaxed structure of Sr3CuAg (GGA-PBE).

Unit cell a=5.847 b=5.847 c=5.847 alpha=90.00 beta=90.00 gamma=90.00
Atoms (fractional coordinates):
Ag: 0.500 0.500 0.500
Cu: 0.000 0.000 0.000
Sr: 0.000 0.500 0.000
Sr: 0.000 0.000 0.500
Sr: 0.500 0.000 0.000

=====

(Q)
Entry from Alexandria: a relaxed structure of Sr3CuAg (GGA-PBE).

Unit cell a=4.332 b=9.227 c=9.349 alpha=96.63 beta=89.95 gamma=103.60
Atoms (fractional coordinates):
Sr: 0.752 0.470 0.014
Sr: 0.204 0.376 0.407
Sr: 0.919 0.805 0.388
Sr: 0.037 0.041 0.034
Sr: 0.582 0.132 0.662
Sr: 0.374 0.714 0.759
Cu: 0.752 0.471 0.665
Ag: 0.402 0.770 0.119
Ag: 0.555 0.077 0.302
Cu: 0.204 0.375 0.756

=====

Quick one: least stable of them? (P)

=====

(P)
Entry from Alexandria: a relaxed structure of SrCu2Ag2 (GGA-PBE).

Unit cell a=7.887 b=7.887 c=3.092 alpha=90.00 beta=90.00 gamma=90.00
Atoms (fractional coordinates):
Sr: 0.500 0.500 0.000
Cu: 0.165 0.665 0.500
Ag: 0.872 0.628 0.000
Ag: 0.628 0.128 0.000
Cu: 0.665 0.835 0.500
Cu: 0.835 0.335 0.500
Ag: 0.372 0.872 0.000
Ag: 0.128 0.372 0.000
Cu: 0.335 0.165 0.500
Sr: 0.000 0.000 0.000

=====

(Q)
Entry from Alexandria: a relaxed structure of SrCu2Ag2 (GGA-PBE).

Unit cell a=7.688 b=7.688 c=3.259 alpha=90.00 beta=90.00 gamma=90.00
Atoms (fractional coordinates):
Sr: 0.000 0.000 0.000
Ag: 0.830 0.330 0.500
Cu: 0.617 0.117 0.000
Cu: 0.383 0.883 0.000
Cu: 0.883 0.617 0.000
Sr: 0.500 0.500 0.000
Ag: 0.330 0.170 0.500
Ag: 0.170 0.670 0.500
Ag: 0.670 0.830 0.500
Cu: 0.117 0.383 0.000

=====

Quick one: least stable of them? (P)